(1)
ErTlIrRh: optimized geometry, GGA-PBE.

Results
Energy of formation from the pure elements, eV/atom: -0.42
Calculated total energy, hartree per atom: -0.228

a = 6.679 Å, b = 6.679 Å, c = 6.679 Å
α = 90.00°, β = 90.00°, γ = 90.00°
Space group F-43m (No. 216)
Asymmetric unit:
Er (0.000, 0.000, 0.000) (multiplicity 4)
Tl (0.000, 0.000, 0.500) (multiplicity 4)
Ir (0.250, 0.250, 0.250) (multiplicity 4)
Rh (0.250, 0.250, 0.750) (multiplicity 4)



(2)
ErTmIrRh: optimized geometry, GGA-PBE.

Results
Energy of formation from the pure elements, eV/atom: -0.95
Calculated total energy, hartree per atom: -0.267

a = 6.772 Å, b = 6.772 Å, c = 6.772 Å
α = 90.00°, β = 90.00°, γ = 90.00°
Space group F-43m (No. 216)
Asymmetric unit:
Er (0.000, 0.000, 0.000) (multiplicity 4)
Tm (0.000, 0.000, 0.500) (multiplicity 4)
Ir (0.250, 0.250, 0.750) (multiplicity 4)
Rh (0.250, 0.250, 0.250) (multiplicity 4)



(3)
ErZrIrRh: optimized geometry, GGA-PBE.

Results
Energy of formation from the pure elements, eV/atom: -0.85
Calculated total energy, hartree per atom: -0.301

a = 6.697 Å, b = 6.697 Å, c = 6.697 Å
α = 90.00°, β = 90.00°, γ = 90.00°
Space group F-43m (No. 216)
Asymmetric unit:
Er (0.000, 0.000, 0.000) (multiplicity 4)
Zr (0.000, 0.000, 0.500) (multiplicity 4)
Ir (0.250, 0.250, 0.750) (multiplicity 4)
Rh (0.250, 0.250, 0.250) (multiplicity 4)



Question: The lowest energy of formation from the pure elements belongs to which entry?
Answer: ErTmIrRh



Question: The lowest energy of formation from the pure elements belongs to which entry?
Answer: ErTmIrRh



Question: What is the energy of formation from the pure elements in the first record?
Answer: -0.42 eV/atom